Compound: Er4Pd7Pb
Source: Alexandria via LeMat-Bulk
Functional: PBE-GGA
Structure: relaxed

Cell: 5.1994 9.3739 6.0202 Å, 81.91 64.42 73.90°
Last column: nearest neighbours and their distance in Å.
Atoms (fractional coordinates):
Pd (0.7859, 0.9069, 0.5214)  2 Pd 2.75-2.81, 4 Er 2.81-2.91, 1 Pb 2.93
Pd (0.6341, 0.4762, 0.2555)  2 Pd 2.70-2.75, 5 Er 2.80-2.95
Pd (0.3659, 0.5238, 0.7445)  2 Pd 2.70-2.75, 5 Er 2.80-2.95
Pd (0.9269, 0.3193, 0.8268)  2 Pd 2.75-2.81, 3 Er 2.85-3.03, 1 Pb 3.00
Pd (0.2141, 0.0931, 0.4786)  2 Pd 2.75-2.81, 4 Er 2.81-2.91, 1 Pb 2.93
Pd (0.0731, 0.6807, 0.1732)  2 Pd 2.75-2.81, 3 Er 2.85-3.03, 1 Pb 3.00
Pd (0.5000, 0.0000, 0.0000)  2 Pb 2.60, 2 Pd 2.75, 2 Er 2.89
Er (0.5915, 0.2179, 0.5992)  8 Pd 2.84-3.03
Er (0.7874, 0.6357, 0.7895)  5 Pd 2.80-2.88
Er (0.4085, 0.7821, 0.4008)  8 Pd 2.84-3.03
Er (0.2126, 0.3643, 0.2105)  5 Pd 2.80-2.88
Pb (0.0000, 0.0000, 0.0000)  2 Pd 2.60

Formation energy in eV/atom: -0.676

Compound: PmNd4N5
Source: Alexandria via LeMat-Bulk
Functional: PBE-GGA
Structure: relaxed

Cell: 5.1833 6.3077 6.3077 Å, 80.28 65.74 65.74°
Last column: nearest neighbours and their distance in Å.
Atoms (fractional coordinates):
N (0.4895, 0.0000, 0.0000)  2 Pm 2.48-2.70, 4 Nd 2.57
N (0.2911, 0.8010, 0.6020)  5 Nd 2.50-2.68, 1 Pm 2.56
N (0.6942, 0.1990, 0.3980)  5 Nd 2.50-2.68, 1 Pm 2.56
N (0.0921, 0.6020, 0.1990)  5 Nd 2.50-2.68, 1 Pm 2.56
N (0.8932, 0.3980, 0.8010)  5 Nd 2.50-2.68, 1 Pm 2.56
Nd (0.8096, 0.8005, 0.6001)  6 N 2.50-2.68
Nd (0.6101, 0.6001, 0.1995)  6 N 2.50-2.68
Nd (0.4097, 0.3999, 0.8005)  6 N 2.50-2.68
Nd (0.2102, 0.1995, 0.3999)  6 N 2.50-2.68
Pm (0.0107, 0.0000, 0.0000)  6 N 2.48-2.70

ΔE_f (raw) in kJ/mol of atoms: -132.8

Compound: Nd3Ge6Pt2Rh
Source: Alexandria via LeMat-Bulk
Functional: PBE-GGA
Structure: relaxed

Cell: 6.0202 6.0202 8.0424 Å, 90.00 90.00 120.00°
Last column: nearest neighbours and their distance in Å.
Atoms (fractional coordinates):
Pt (0.3333, 0.6667, 0.0323)  3 Ge 2.61
Pt (0.6667, 0.3333, 0.9677)  3 Ge 2.61
Nd (0.3333, 0.6667, 0.6479)  9 Ge 3.05-3.19, 1 Pt 3.09
Nd (0.6667, 0.3333, 0.3521)  9 Ge 3.05-3.19, 1 Pt 3.09
Nd (0.0000, 0.0000, 0.0000)  6 Ge 3.10
Ge (0.6219, 0.8109, 0.2975)  1 Rh 2.56, 2 Ge 2.61, 1 Pt 2.61
Ge (0.8109, 0.1891, 0.7025)  1 Rh 2.56, 2 Ge 2.61, 1 Pt 2.61
Ge (0.1891, 0.8109, 0.2975)  1 Rh 2.56, 2 Ge 2.61, 1 Pt 2.61
Ge (0.1891, 0.3781, 0.2975)  1 Rh 2.56, 2 Ge 2.61, 1 Pt 2.61
Ge (0.3781, 0.1891, 0.7025)  1 Rh 2.56, 2 Ge 2.61, 1 Pt 2.61
Ge (0.8109, 0.6219, 0.7025)  1 Rh 2.56, 2 Ge 2.61, 1 Pt 2.61
Rh (0.0000, 0.0000, 0.5000)  6 Ge 2.56

Formation energy in eV/atom: -0.470

Compound: Ta2GeRh
Source: Alexandria via LeMat-Bulk
Functional: PBE-GGA
Structure: relaxed

Cell: 7.1138 7.1138 5.7584 Å, 51.85 51.85 90.00°
Last column: nearest neighbours and their distance in Å.
Atoms (fractional coordinates):
Ta (0.6332, 0.1250, 0.2500)  2 Rh 2.57, 2 Ge 2.65, 2 Ta 2.81
Ta (0.8750, 0.8832, 0.7500)  2 Rh 2.57, 2 Ge 2.65, 2 Ta 2.81
Ta (0.1168, 0.6250, 0.2500)  2 Rh 2.57, 2 Ge 2.65, 2 Ta 2.81
Ta (0.3750, 0.3668, 0.7500)  2 Rh 2.57, 2 Ge 2.65, 2 Ta 2.81
Ge (0.5000, 0.5000, 0.0000)  4 Ta 2.65, 2 Rh 2.80
Ge (0.2500, 0.7500, 0.5000)  4 Ta 2.65, 2 Rh 2.80
Rh (0.0000, 0.0000, 0.0000)  4 Ta 2.57, 2 Ge 2.80
Rh (0.7500, 0.2500, 0.5000)  4 Ta 2.57, 2 Ge 2.80

Formation energy in eV/atom: 0.107

Compound: KYPdAu2
Source: Alexandria via LeMat-Bulk
Functional: PBE-GGA
Structure: relaxed

Cell: 5.6274 5.2323 5.6274 Å, 90.00 90.00 90.00°
Last column: nearest neighbours and their distance in Å.
Atoms (fractional coordinates):
Y (0.0000, 0.0000, 0.0000)  2 Pd 2.62, 4 Au 2.81
K (0.5000, 0.5000, 0.5000)  8 Au 3.84, 4 Pd 3.98
Au (0.0000, 0.0000, 0.5000)  2 Y 2.81
Au (0.5000, 0.0000, 0.0000)  2 Y 2.81
Pd (0.0000, 0.5000, 0.0000)  2 Y 2.62

Formation energy in eV/atom: -0.017

Compound: AlGe3Ru
Source: Alexandria via LeMat-Bulk
Functional: PBE-GGA
Structure: relaxed

Cell: 4.7821 4.7821 4.7821 Å, 90.00 90.00 90.00°
Last column: nearest neighbours and their distance in Å.
Atoms (fractional coordinates):
Ge (0.5000, 0.0000, 0.0000)  2 Ru 2.39
Ge (0.0000, 0.0000, 0.5000)  2 Ru 2.39
Ge (0.0000, 0.5000, 0.0000)  2 Ru 2.39
Ru (0.0000, 0.0000, 0.0000)  6 Ge 2.39
Al (0.5000, 0.5000, 0.5000)  12 Ge 3.38

Formation energy in eV/atom: 0.368
Energy above the most stable polymorph in this dataset in meV per atom: 0

Compound: CaPm4NdY2
Source: Alexandria via LeMat-Bulk
Functional: PBE-GGA
Structure: relaxed

Cell: 5.1865 5.1701 11.5191 Å, 63.37 90.00 90.00°
Last column: nearest neighbours and their distance in Å.
Atoms (fractional coordinates):
Pm (0.5000, 0.7439, 0.2558)  4 Y 3.61-3.70, 2 Nd 3.61, 4 Pm 3.66, 2 Ca 3.69
Pm (0.0000, 0.7552, 0.7450)  2 Nd 3.61, 4 Y 3.62-3.69, 4 Pm 3.66, 2 Ca 3.69
Pm (0.0000, 0.2448, 0.2550)  2 Nd 3.61, 4 Y 3.62-3.69, 4 Pm 3.66, 2 Ca 3.69
Pm (0.5000, 0.2561, 0.7442)  4 Y 3.61-3.70, 2 Nd 3.61, 4 Pm 3.66, 2 Ca 3.69
Y (0.5000, 0.0000, 0.5000)  8 Pm 3.61-3.62, 4 Nd 3.66
Y (0.0000, 0.0000, 0.0000)  4 Ca 3.66, 8 Pm 3.68-3.70
Nd (0.0000, 0.5000, 0.5000)  8 Pm 3.61, 4 Y 3.66
Ca (0.5000, 0.5000, 0.0000)  4 Y 3.66, 8 Pm 3.69

Formation energy in eV/atom: 0.051

Compound: Ac3AlP2Rh9
Source: Alexandria via LeMat-Bulk
Functional: PBE-GGA
Structure: relaxed

Cell: 6.5090 6.5090 7.8996 Å, 90.00 90.00 120.00°
Last column: nearest neighbours and their distance in Å.
Atoms (fractional coordinates):
Rh (0.3429, 0.1714, 0.6763)  1 P 2.24, 1 Al 2.38
Rh (0.5000, 0.0000, 0.0000)  2 P 2.27
Rh (0.8286, 0.1714, 0.6763)  1 P 2.24, 1 Al 2.38
Rh (0.6571, 0.8286, 0.3237)  1 P 2.24, 1 Al 2.38
Rh (0.1714, 0.3429, 0.3237)  1 P 2.24, 1 Al 2.38
Rh (0.0000, 0.5000, 0.0000)  2 P 2.27
Rh (0.8286, 0.6571, 0.6763)  1 P 2.24, 1 Al 2.38
Rh (0.1714, 0.8286, 0.3237)  1 P 2.24, 1 Al 2.38
Rh (0.5000, 0.5000, 0.0000)  2 P 2.27
Ac (0.6667, 0.3333, 0.3402)  12 Rh 3.22-3.28
Ac (0.0000, 0.0000, 0.0000)  12 Rh 3.21-3.25
Ac (0.3333, 0.6667, 0.6598)  12 Rh 3.22-3.28
P (0.6667, 0.3333, 0.8396)  6 Rh 2.24-2.27
P (0.3333, 0.6667, 0.1604)  6 Rh 2.24-2.27
Al (0.0000, 0.0000, 0.5000)  6 Rh 2.38

Formation energy in eV/atom: -0.665

Compound: MnAl2Pt
Source: Alexandria via LeMat-Bulk
Functional: PBE-GGA
Structure: relaxed

Cell: 2.8490 5.6937 7.3293 Å, 90.00 90.00 104.04°
Last column: nearest neighbours and their distance in Å.
Atoms (fractional coordinates):
Mn (0.4725, 0.9443, 0.7500)  8 Al 2.64-2.74, 2 Pt 2.80-2.84, 2 Mn 2.85
Mn (0.5275, 0.0557, 0.2500)  8 Al 2.64-2.74, 2 Pt 2.80-2.84, 2 Mn 2.85
Al (0.1120, 0.2327, 0.9606)  3 Pt 2.58, 3 Al 2.64-2.85, 4 Mn 2.64-2.74
Al (0.1120, 0.2327, 0.5394)  3 Pt 2.58, 3 Al 2.64-2.85, 4 Mn 2.64-2.74
Al (0.8880, 0.7673, 0.0394)  3 Pt 2.58, 3 Al 2.64-2.85, 4 Mn 2.64-2.74
Al (0.8880, 0.7673, 0.4606)  3 Pt 2.58, 3 Al 2.64-2.85, 4 Mn 2.64-2.74
Pt (0.7435, 0.5030, 0.7500)  6 Al 2.58, 2 Mn 2.80-2.84, 2 Pt 2.85
Pt (0.2565, 0.4970, 0.2500)  6 Al 2.58, 2 Mn 2.80-2.84, 2 Pt 2.85

Formation energy in eV/atom: -0.557

Compound: CeAs2Rh2
Source: Alexandria via LeMat-Bulk
Functional: PBE-GGA
Structure: relaxed

Cell: 4.2909 4.2909 9.9505 Å, 90.00 90.00 90.00°
Last column: nearest neighbours and their distance in Å.
Atoms (fractional coordinates):
Ce (0.0000, 0.5000, 0.2530)  8 As 3.25-3.26, 8 Rh 3.28-3.31
Ce (0.5000, 0.0000, 0.7470)  8 As 3.25-3.26, 8 Rh 3.28-3.31
Rh (0.0000, 0.0000, 0.0000)  4 As 2.54
Rh (0.5000, 0.0000, 0.3792)  5 As 2.41-2.46
Rh (0.5000, 0.5000, 0.0000)  4 As 2.54
Rh (0.0000, 0.5000, 0.6208)  5 As 2.41-2.46
As (0.0000, 0.5000, 0.8632)  5 Rh 2.41-2.54
As (0.0000, 0.0000, 0.5000)  4 Rh 2.46
As (0.5000, 0.0000, 0.1368)  5 Rh 2.41-2.54
As (0.5000, 0.5000, 0.5000)  4 Rh 2.46

Formation energy in eV/atom: -0.926

Compound: BaVS2
Source: Alexandria via LeMat-Bulk
Functional: PBE-GGA
Structure: relaxed

Cell: 7.2546 7.2546 6.4031 Å, 55.49 55.49 90.00°
Last column: nearest neighbours and their distance in Å.
Atoms (fractional coordinates):
S (0.8750, 0.7839, 0.7500)  2 V 2.35
S (0.2161, 0.6250, 0.2500)  2 V 2.35
S (0.3750, 0.4661, 0.7500)  2 V 2.35
S (0.5339, 0.1250, 0.2500)  2 V 2.35
V (0.2500, 0.7500, 0.5000)  4 S 2.35
V (0.5000, 0.5000, 0.0000)  4 S 2.35
Ba (0.7500, 0.2500, 0.5000)  8 S 3.21-3.59
Ba (0.0000, 0.0000, 0.0000)  8 S 3.21-3.59

ΔE_f (raw) in kJ/mol of atoms: -118.5
Energy above the most stable polymorph in this dataset in meV per atom: 0

Compound: Mn2ReSi
Source: Alexandria via LeMat-Bulk
Functional: PBE-GGA
Structure: relaxed

Cell: 4.1373 4.1373 4.1373 Å, 60.00 60.00 60.00°
Last column: nearest neighbours and their distance in Å.
Atoms (fractional coordinates):
Re (0.5000, 0.5000, 0.5000)  4 Si 2.53, 4 Mn 2.53
Mn (0.0000, 0.0000, 0.0000)  4 Si 2.53, 4 Mn 2.53
Mn (0.2500, 0.2500, 0.2500)  4 Mn 2.53, 4 Re 2.53
Si (0.7500, 0.7500, 0.7500)  4 Mn 2.53, 4 Re 2.53

ΔE_f (raw) in kJ/mol of atoms: -20.1

Number 1: electronic total energy -66.427 eV for the cell shown, total magnetic moment 0.0 μB per formula unit. Number 2: electronic total energy -79.208 eV for the cell shown, total magnetic moment 0.0 μB per formula unit. Number 3: electronic total energy -67.078 eV for the cell shown, total magnetic moment 0.0 μB per formula unit. Number 4: electronic total energy -70.495 eV for the cell shown, total magnetic moment 0.0 μB per formula unit. Number 5: electronic total energy -19.393 eV for the cell shown, total magnetic moment 0.0 μB per formula unit. Number 6: electronic total energy -25.031 eV for the cell shown, total magnetic moment 0.0 μB per formula unit. Number 7: electronic total energy -38.296 eV for the cell shown, total magnetic moment 0.0 μB per formula unit. Number 8: electronic total energy -103.020 eV for the cell shown, total magnetic moment 0.0 μB per formula unit. Number 9: electronic total energy -49.846 eV for the cell shown, total magnetic moment 2.4 μB per formula unit. Number 10: electronic total energy -69.136 eV for the cell shown, total magnetic moment 0.4 μB per formula unit. Number 11: electronic total energy -48.420 eV for the cell shown, total magnetic moment 3.0 μB per formula unit. Number 12: electronic total energy -37.042 eV for the cell shown, total magnetic moment 1.1 μB per formula unit.